FeMoP2: optimized geometry, PBE-GGA.

Properties
Total moment: 0.000 μB per formula unit
Formation energy: -89 kJ/mol of formula units

Unit cell a=5.8075 b=5.8075 c=5.8075 alpha=90.00 beta=90.00 gamma=90.00
Atoms (fractional coordinates):
Fe: 0.0000 0.0000 0.0000
Fe: 0.0000 0.5000 0.5000
Fe: 0.5000 0.0000 0.5000
Fe: 0.5000 0.5000 0.0000
Mo: 0.0000 0.0000 0.5000
Mo: 0.0000 0.5000 0.0000
Mo: 0.5000 0.0000 0.0000
Mo: 0.5000 0.5000 0.5000
P: 0.2500 0.2500 0.2500
P: 0.2500 0.2500 0.7500
P: 0.2500 0.7500 0.2500
P: 0.2500 0.7500 0.7500
P: 0.7500 0.2500 0.2500
P: 0.7500 0.2500 0.7500
P: 0.7500 0.7500 0.2500
P: 0.7500 0.7500 0.7500